No. 1
This record from Alexandria describes crystalline Sn4Te5 at its relaxed geometry. The functional is PBE.

The structure belongs to space group I4/m (No. 87); the cell edges are 12.735, 12.735 and 4.214 Å and the angles 90.00°, 90.00° and 90.00°. The inequivalent atoms are Sn at (0.063, 0.229, 0.000), Te at (0.000, 0.000, 0.000) and Te at (0.093, 0.728, 0.500).

The value obtained for the size of the total moment is 0.00 μB per atom. As for the density of states at the Fermi level: 10.3 states/eV per cell. For the uncorrected formation energy, the calculation gives -0.1221 eV per atom.



No. 2
This record from Alexandria describes crystalline Pm2SiBr at its relaxed geometry. The functional is PBE.

The structure belongs to space group R-3m (No. 166, hexagonal axes); the cell edges are 4.2416, 4.2416 and 21.8592 Å and the angles 90.00°, 90.00° and 120.00°. The inequivalent atoms are Pm at (0.0000, 0.0000, 0.2366), Si at (0.0000, 0.0000, 0.5000) and Br at (0.0000, 0.0000, 0.0000).

The energy above the most stable polymorph in this dataset is 0.0000 eV/atom. The value obtained for the size of the total moment is 0.00 μB per atom. As for the density of states at the Fermi level: 4.7 states/eV per cell. For the uncorrected formation energy, the calculation gives -1.0775 eV per atom.